# ZrTe2NF

ZrTe2NF after structural relaxation (PBE, Alexandria).

Results
- Total magnetization: 0.000 μB/atom
- Space-group type: P4/mmm
- Relative energy among the computed polymorphs: 0.0 meV/atom
- Uncorrected formation energy: 0.00 eV per atom
- E_tot: -5.00 eV per atom

```
data_ZrTe2NF
_symmetry_space_group_name_H-M 'P 1'
_symmetry_Int_Tables_number 1
_cell_length_a 5.6420
_cell_length_b 5.6420
_cell_length_c 4.0696
_cell_angle_alpha 90.00
_cell_angle_beta 90.00
_cell_angle_gamma 90.00
loop_
_symmetry_equiv_pos_as_xyz
'x,y,z'
loop_
_atom_site_label
_atom_site_type_symbol
_atom_site_fract_x
_atom_site_fract_y
_atom_site_fract_z
Zr1 Zr 0.0000 0.0000 0.0000
Te1 Te 0.0000 0.5000 0.0000
Te2 Te 0.5000 0.0000 0.0000
N1 N 0.0000 0.0000 0.5000
F1 F 0.5000 0.5000 0.5000
```